Here is crystalline BaMgVO4 at its relaxed geometry from Alexandria. Energies are from PBE+U.

Lattice parameters (Å, degrees): 8.4701 8.4701 8.4701 90.00 90.00 90.00
Closest atoms and distances in Å follow each position.
Space group F-43m (No. 216)
Unique sites:
Ba  0.0000  0.0000  0.0000 (multiplicity 4)  12 O 3.52, 4 Mg 3.67
Mg  0.2500  0.2500  0.7500 (multiplicity 4)  4 O 1.88
V  0.0000  0.0000  0.5000 (multiplicity 4)  4 O 1.79
O  0.1222  0.1222  0.6222 (multiplicity 16)  1 V 1.79, 1 Mg 1.88

Summary:
Uncorrected energy, eV per atom: -6.55
Density, Mg/m³: 3.02
Magnetic moment, μB per formula unit: 0.989